A relaxed structure of Dy12ZnCu6, computed with PBE.

Uncorrected energy in eV/atom: -4.273
Crystal system: trigonal
Relative energy among the computed polymorphs in meV/atom: 149
D(E_F) in states/eV/cell: 20.64
Energy of formation in kJ/mol of formula units: -11

```
data_Dy12ZnCu6
_chemical_formula_sum 'Dy12 Zn1 Cu6'
_space_group_name_H-M_alt 'P 1'
_space_group_IT_number 1
_cell_length_a 8.496
_cell_length_b 8.496
_cell_length_c 8.496
_cell_angle_alpha 109.09
_cell_angle_beta 109.09
_cell_angle_gamma 109.09
loop_
_space_group_symop_operation_xyz
'x,y,z'
loop_
_atom_site_label
_atom_site_fract_x
_atom_site_fract_y
_atom_site_fract_z
_atom_site_occupancy
Cu1 0.340 0.158 0.643 1
Cu2 0.842 0.357 0.660 1
Cu3 0.357 0.660 0.842 1
Cu4 0.643 0.340 0.158 1
Cu5 0.158 0.643 0.340 1
Cu6 0.660 0.842 0.357 1
Dy1 0.866 0.309 0.993 1
Dy2 0.691 0.007 0.134 1
Dy3 0.993 0.866 0.309 1
Dy4 0.468 0.158 0.374 1
Dy5 0.158 0.374 0.468 1
Dy6 0.007 0.134 0.691 1
Dy7 0.309 0.993 0.866 1
Dy8 0.134 0.691 0.007 1
Dy9 0.626 0.532 0.842 1
Dy10 0.842 0.626 0.532 1
Dy11 0.532 0.842 0.626 1
Dy12 0.374 0.468 0.158 1
Zn1 0.000 0.000 0.000 1
```

***

A relaxed structure of Dy3Zn4Cu4, computed with PBE.

Uncorrected energy in eV/atom: -3.493
Crystal system: triclinic
D(E_F) in states/eV/cell: 5.61
Energy of formation in kJ/mol of formula units: -302

```
data_Dy3Zn4Cu4
_chemical_formula_sum 'Dy3 Zn4 Cu4'
_space_group_name_H-M_alt 'P 1'
_space_group_IT_number 1
_cell_length_a 3.619
_cell_length_b 4.197
_cell_length_c 13.565
_cell_angle_alpha 81.35
_cell_angle_beta 82.22
_cell_angle_gamma 90.09
loop_
_space_group_symop_operation_xyz
'x,y,z'
loop_
_atom_site_label
_atom_site_fract_x
_atom_site_fract_y
_atom_site_fract_z
_atom_site_occupancy
Dy1 0.000 0.000 0.000 1
Dy2 0.145 0.646 0.707 1
Dy3 0.855 0.354 0.293 1
Cu1 0.313 0.812 0.378 1
Cu2 0.456 0.453 0.094 1
Cu3 0.544 0.547 0.906 1
Cu4 0.687 0.188 0.622 1
Zn1 0.594 0.095 0.809 1
Zn2 0.406 0.905 0.191 1
Zn3 0.745 0.743 0.510 1
Zn4 0.255 0.257 0.490 1
```

***

A relaxed structure of Dy3Zn2Cu, computed with PBE.

Uncorrected energy in eV/atom: -3.720
Crystal system: tetragonal
D(E_F) in states/eV/cell: 4.80
Energy of formation in kJ/mol of formula units: -180

```
data_Dy3Zn2Cu
_chemical_formula_sum 'Dy3 Zn2 Cu1'
_space_group_name_H-M_alt 'P 1'
_space_group_IT_number 1
_cell_length_a 3.532
_cell_length_b 3.532
_cell_length_c 10.608
_cell_angle_alpha 90.00
_cell_angle_beta 90.00
_cell_angle_gamma 90.00
loop_
_space_group_symop_operation_xyz
'x,y,z'
loop_
_atom_site_label
_atom_site_fract_x
_atom_site_fract_y
_atom_site_fract_z
_atom_site_occupancy
Dy1 0.000 0.000 0.000 1
Dy2 0.000 0.000 0.339 1
Dy3 0.000 0.000 0.661 1
Zn1 0.500 0.500 0.167 1
Zn2 0.500 0.500 0.833 1
Cu1 0.500 0.500 0.500 1
```

***

A relaxed structure of Dy12ZnCu6, computed with PBE.

Uncorrected energy in eV/atom: -4.422
Crystal system: cubic
Relative energy among the computed polymorphs in meV/atom: 0
D(E_F) in states/eV/cell: 13.58
Energy of formation in kJ/mol of formula units: -284

```
data_Dy12ZnCu6
_chemical_formula_sum 'Dy12 Zn1 Cu6'
_space_group_name_H-M_alt 'P 1'
_space_group_IT_number 1
_cell_length_a 8.486
_cell_length_b 8.486
_cell_length_c 8.486
_cell_angle_alpha 109.47
_cell_angle_beta 109.47
_cell_angle_gamma 109.47
loop_
_space_group_symop_operation_xyz
'x,y,z'
loop_
_atom_site_label
_atom_site_fract_x
_atom_site_fract_y
_atom_site_fract_z
_atom_site_occupancy
Dy1 0.294 0.106 0.812 1
Dy2 0.812 0.294 0.106 1
Dy3 0.706 0.894 0.188 1
Dy4 0.106 0.812 0.294 1
Dy5 0.294 0.482 0.188 1
Dy6 0.188 0.294 0.482 1
Dy7 0.518 0.812 0.706 1
Dy8 0.706 0.518 0.812 1
Dy9 0.482 0.188 0.294 1
Dy10 0.812 0.706 0.518 1
Dy11 0.188 0.706 0.894 1
Dy12 0.894 0.188 0.706 1
Cu1 0.500 0.875 0.375 1
Cu2 0.625 0.500 0.125 1
Cu3 0.125 0.625 0.500 1
Cu4 0.375 0.500 0.875 1
Cu5 0.875 0.375 0.500 1
Cu6 0.500 0.125 0.625 1
Zn1 0.000 0.000 0.000 1
```

***

A relaxed structure of DyZn11Cu, computed with PBE.

Uncorrected energy in eV/atom: -1.932
Crystal system: monoclinic
D(E_F) in states/eV/cell: 4.88
Energy of formation in kJ/mol of formula units: -232

```
data_DyZn11Cu
_chemical_formula_sum 'Dy1 Zn11 Cu1'
_space_group_name_H-M_alt 'P 1'
_space_group_IT_number 1
_cell_length_a 5.191
_cell_length_b 6.755
_cell_length_c 6.765
_cell_angle_alpha 81.58
_cell_angle_beta 67.44
_cell_angle_gamma 67.56
loop_
_space_group_symop_operation_xyz
'x,y,z'
loop_
_atom_site_label
_atom_site_fract_x
_atom_site_fract_y
_atom_site_fract_z
_atom_site_occupancy
Zn1 0.287 0.219 0.215 1
Zn2 0.362 0.644 0.651 1
Zn3 0.713 0.781 0.785 1
Zn4 0.497 0.781 0.215 1
Zn5 0.638 0.356 0.349 1
Zn6 0.000 0.500 0.000 1
Zn7 0.500 0.000 0.500 1
Zn8 0.503 0.219 0.785 1
Zn9 0.000 0.000 0.500 1
Zn10 0.012 0.644 0.349 1
Zn11 0.988 0.356 0.651 1
Dy1 0.000 0.000 0.000 1
Cu1 0.500 0.500 0.000 1
```

***

A relaxed structure of Dy2Zn15Cu2, computed with PBE.

Uncorrected energy in eV/atom: -2.143
Crystal system: trigonal
D(E_F) in states/eV/cell: 6.51
Energy of formation in kJ/mol of formula units: -405

```
data_Dy2Zn15Cu2
_chemical_formula_sum 'Dy2 Zn15 Cu2'
_space_group_name_H-M_alt 'P 1'
_space_group_IT_number 1
_cell_length_a 6.749
_cell_length_b 6.749
_cell_length_c 6.749
_cell_angle_alpha 82.63
_cell_angle_beta 82.63
_cell_angle_gamma 82.63
loop_
_space_group_symop_operation_xyz
'x,y,z'
loop_
_atom_site_label
_atom_site_fract_x
_atom_site_fract_y
_atom_site_fract_z
_atom_site_occupancy
Cu1 0.101 0.101 0.101 1
Cu2 0.899 0.899 0.899 1
Dy1 0.335 0.335 0.335 1
Dy2 0.665 0.665 0.665 1
Zn1 0.648 0.648 0.157 1
Zn2 0.291 0.709 0.000 1
Zn3 0.648 0.157 0.648 1
Zn4 0.291 0.000 0.709 1
Zn5 0.000 0.709 0.291 1
Zn6 0.352 0.352 0.843 1
Zn7 0.000 0.291 0.709 1
Zn8 0.843 0.352 0.352 1
Zn9 0.709 0.000 0.291 1
Zn10 0.500 0.000 0.000 1
Zn11 0.709 0.291 0.000 1
Zn12 0.000 0.000 0.500 1
Zn13 0.000 0.500 0.000 1
Zn14 0.157 0.648 0.648 1
Zn15 0.352 0.843 0.352 1
```